# 1
A plane-wave DFT calculation with PBE was carried out for an optimized crystal structure of CoSi2RhBr.

Unit cell a=4.225 b=5.057 c=4.225 alpha=90.00 beta=90.00 gamma=90.00
Element x y z (fractional)
Rh1 0.500 0.500 0.500
Co1 0.000 0.000 0.000
Si1 0.000 0.000 0.500
Si2 0.500 0.000 0.000
Br1 0.000 0.500 0.000

Calculated volume: 90 Å³ per cell
Raw formation energy: 61.0 kJ per mole of atoms
Crystal system: tetragonal
E: -4.763 eV/atom
Space-group type: P4/mmm (123)

# 2
A plane-wave DFT calculation with PBE was carried out for an optimized crystal structure of Sm6CoRh2Br3.

Unit cell a=6.992 b=6.992 c=8.081 alpha=98.27 beta=98.27 gamma=120.02
Element x y z (fractional)
Sm1 0.742 0.742 0.194
Sm2 0.613 0.936 0.807
Sm3 0.387 0.064 0.193
Sm4 0.936 0.613 0.807
Sm5 0.258 0.258 0.806
Sm6 0.064 0.387 0.193
Rh1 0.667 0.333 0.000
Rh2 0.333 0.667 0.000
Co1 0.000 0.000 0.000
Br1 0.165 0.835 0.500
Br2 0.835 0.165 0.500
Br3 0.500 0.500 0.500

Calculated volume: 328 Å³ per cell
Raw formation energy: -93.4 kJ per mole of atoms
Crystal system: monoclinic
E: -5.563 eV/atom
Space-group type: C2/m (12)

# 3
A plane-wave DFT calculation with PBE was carried out for an optimized crystal structure of Sm8CoRh3Br4.

Unit cell a=8.090 b=9.052 c=8.091 alpha=116.59 beta=119.99 gamma=90.00
Element x y z (fractional)
Sm1 0.226 0.693 0.452
Sm2 0.774 0.307 0.548
Sm3 0.226 0.693 0.967
Sm4 0.774 0.307 0.033
Sm5 0.732 0.697 0.465
Sm6 0.259 0.307 0.033
Sm7 0.268 0.303 0.535
Sm8 0.741 0.693 0.967
Rh1 0.500 0.500 0.500
Rh2 0.500 0.500 0.000
Rh3 0.000 0.500 0.500
Br1 0.500 0.000 0.500
Br2 0.000 0.000 0.000
Br3 0.500 0.000 0.000
Br4 0.000 0.000 0.500
Co1 0.000 0.500 0.000

Calculated volume: 439 Å³ per cell
Raw formation energy: -96.1 kJ per mole of atoms
Crystal system: trigonal
E: -5.596 eV/atom
Space-group type: R-3m (166)

# 4
A plane-wave DFT calculation with PBE was carried out for an optimized crystal structure of Sm8Co3RhBr4.

Unit cell a=7.958 b=8.997 c=7.959 alpha=116.28 beta=120.00 gamma=90.00
Element x y z (fractional)
Br1 0.000 0.000 0.500
Br2 0.500 0.000 0.000
Br3 0.500 0.000 0.500
Br4 0.000 0.000 0.000
Sm1 0.764 0.307 0.529
Sm2 0.722 0.693 0.958
Sm3 0.270 0.310 0.540
Sm4 0.236 0.693 0.958
Sm5 0.730 0.690 0.460
Sm6 0.278 0.307 0.042
Sm7 0.236 0.693 0.471
Sm8 0.764 0.307 0.042
Co1 0.500 0.500 0.500
Co2 0.500 0.500 0.000
Co3 0.000 0.500 0.500
Rh1 0.000 0.500 0.000

Calculated volume: 424 Å³ per cell
Raw formation energy: -79.0 kJ per mole of atoms
Crystal system: trigonal
E: -5.388 eV/atom
Space-group type: R-3m (166)